1.
The following is a PBE-GGA calculation of crystalline Dy3Re3B8 at its relaxed geometry, from Alexandria via LeMat-Bulk.

Summary:
energy of formation	-12.6	kJ per mole of atoms
total magnetic moment	0.0	μB per cell

a b c (Å): 3.144 7.806 7.806
angles (deg): 72.38 78.38 78.38
Fractional coordinates of all 14 atoms:
Dy: 0.215 0.785 0.785
Dy: 0.500 0.500 0.500
Dy: 0.785 0.215 0.215
B: 0.159 0.169 0.514
B: 0.363 0.398 0.876
B: 0.363 0.876 0.398
B: 0.841 0.831 0.486
B: 0.637 0.602 0.124
B: 0.841 0.486 0.831
B: 0.637 0.124 0.602
B: 0.159 0.514 0.169
Re: 0.500 0.000 0.000
Re: 0.000 0.777 0.223
Re: 0.000 0.223 0.777

2.
The following is a PBE-GGA calculation of crystalline Nd3ErHg at its relaxed geometry, from Alexandria via LeMat-Bulk.

Summary:
energy of formation	-16.4	kJ per mole of atoms
total magnetic moment	0.0	μB per cell
energy above the lowest structure with this stoichiometry	0	meV per atom

a b c (Å): 3.756 8.743 10.013
angles (deg): 76.70 100.81 90.00
Fractional coordinates of all 10 atoms:
Hg: 0.392 0.590 0.783
Hg: 0.608 0.410 0.217
Er: 0.205 0.169 0.410
Er: 0.795 0.831 0.590
Nd: 0.814 0.378 0.627
Nd: 0.004 0.710 0.008
Nd: 0.403 0.036 0.806
Nd: 0.597 0.964 0.194
Nd: 0.996 0.290 0.992
Nd: 0.186 0.622 0.373

3.
The following is a PBE-GGA calculation of crystalline Pr6PdSe5 at its relaxed geometry, from Alexandria via LeMat-Bulk.

Summary:
formation energy from raw total energies	-20.0	eV per formula unit
total magnetic moment	0.0	μB per cell

a b c (Å): 7.390 7.390 7.396
angles (deg): 99.64 99.64 119.87
Fractional coordinates of all 12 atoms:
Se: 0.500 0.500 0.500
Se: 0.830 0.170 0.500
Se: 0.665 0.335 0.000
Se: 0.335 0.665 0.000
Se: 0.170 0.830 0.500
Pr: 0.752 0.752 0.250
Pr: 0.587 0.919 0.754
Pr: 0.919 0.587 0.754
Pr: 0.413 0.081 0.246
Pr: 0.081 0.413 0.246
Pr: 0.248 0.248 0.750
Pd: 0.000 0.000 0.000

4.
The following is a PBE-GGA calculation of crystalline Cu2RhS4 at its relaxed geometry, from Alexandria via LeMat-Bulk.

Summary:
formation energy from raw total energies	-1.6	eV per formula unit
total magnetic moment	0.0	μB per cell
energy above the lowest structure with this stoichiometry	0	meV per atom

a b c (Å): 7.030 6.972 6.972
angles (deg): 59.19 59.72 59.72
Fractional coordinates of all 14 atoms:
S: 0.254 0.265 0.226
S: 0.280 0.740 0.240
S: 0.740 0.740 0.240
S: 0.746 0.735 0.774
S: 0.746 0.274 0.235
S: 0.260 0.260 0.760
S: 0.720 0.260 0.760
S: 0.254 0.726 0.765
Cu: 0.882 0.868 0.368
Cu: 0.500 0.500 0.500
Cu: 0.500 0.000 0.000
Cu: 0.118 0.132 0.632
Rh: 0.000 0.500 0.000
Rh: 0.500 0.500 0.000

5.
The following is a PBE-GGA calculation of crystalline KSrMg2Ag at its relaxed geometry, from Alexandria via LeMat-Bulk.

Summary:
energy of formation	5.0	kJ per mole of atoms
total magnetic moment	0.0	μB per cell

a b c (Å): 5.485 5.485 6.008
angles (deg): 90.00 90.00 90.00
Fractional coordinates of all 5 atoms:
Sr: 0.000 0.000 0.500
Ag: 0.000 0.000 0.000
Mg: 0.000 0.500 0.000
Mg: 0.500 0.000 0.000
K: 0.500 0.500 0.500

6.
The following is a PBE-GGA calculation of crystalline Nd2GeBi at its relaxed geometry, from Alexandria via LeMat-Bulk.

Summary:
energy of formation	-77.2	kJ per mole of atoms
total magnetic moment	0.0	μB per cell
energy above the lowest structure with this stoichiometry	20	meV per atom

a b c (Å): 4.380 4.380 7.911
angles (deg): 73.93 73.93 60.00
Fractional coordinates of all 4 atoms:
Ge: 0.000 0.000 0.000
Bi: 0.500 0.500 0.500
Nd: 0.257 0.257 0.228
Nd: 0.743 0.743 0.772